Computed, not measured: CsCa2MgPd after structural relaxation at the GGA-PBE level of DFT.

a = 5.802 Å, b = 5.802 Å, c = 5.453 Å
α = 90.00°, β = 90.00°, γ = 90.00°
Space group P4/mmm (No. 123)
Asymmetric unit:
Cs 0.000 0.000 0.000 x1
Ca 0.000 0.500 0.500 x2
Mg 0.500 0.500 0.000 x1
Pd 0.500 0.500 0.500 x1

Summary:
Its formation energy from the elements is -0.1641 eV/atom. For the density, the calculation gives 3.11 g cm⁻³.

Computed, not measured: CsCa2MgPt after structural relaxation at the GGA-PBE level of DFT.

a = 5.773 Å, b = 5.773 Å, c = 5.390 Å
α = 90.00°, β = 90.00°, γ = 90.00°
Space group P4/mmm (No. 123)
Asymmetric unit:
Cs 0.000 0.000 0.000 x1
Ca 0.000 0.500 0.500 x2
Mg 0.500 0.500 0.000 x1
Pt 0.500 0.500 0.500 x1

Summary:
Its formation energy from the elements is -0.2998 eV/atom. For the density, the calculation gives 4.00 g cm⁻³.

Computed, not measured: CsCaMg2Pt after structural relaxation at the GGA-PBE level of DFT.

a = 5.372 Å, b = 5.372 Å, c = 5.616 Å
α = 90.00°, β = 90.00°, γ = 90.00°
Space group P4/mmm (No. 123)
Asymmetric unit:
Cs 0.000 0.000 0.000 x1
Ca 0.500 0.500 0.000 x1
Mg 0.000 0.500 0.500 x2
Pt 0.500 0.500 0.500 x1

Summary:
Its formation energy from the elements is -0.2839 eV/atom. For the density, the calculation gives 4.27 g cm⁻³.

Computed, not measured: Cs2CaMgSb2 after structural relaxation at the GGA-PBE level of DFT.

a = 7.415 Å, b = 17.767 Å, c = 7.448 Å
α = 90.00°, β = 90.00°, γ = 90.00°
Space group Ibam (No. 72)
Asymmetric unit:
Cs 0.241 0.178 0.000 x8
Ca 0.000 0.500 0.250 x4
Mg 0.000 0.000 0.250 x4
Sb 0.232 0.090 0.500 x8

Summary:
The calculation puts the uncorrected formation energy at -703 meV per atom. For the density, the calculation gives 3.88 g cm⁻³.

Computed, not measured: CsCa2MgSe after structural relaxation at the GGA-PBE level of DFT.

a = 5.659 Å, b = 5.659 Å, c = 7.443 Å
α = 90.00°, β = 90.00°, γ = 90.00°
Space group P4/mmm (No. 123)
Asymmetric unit:
Cs 0.000 0.000 0.000 x1
Ca 0.000 0.500 0.500 x2
Mg 0.500 0.500 0.000 x1
Se 0.500 0.500 0.500 x1

Summary:
The calculation puts the uncorrected formation energy at -336 meV per atom. For the density, the calculation gives 2.20 g cm⁻³.

Computed, not measured: Cs3CaMn after structural relaxation at the GGA-PBE level of DFT.

a = 8.320 Å, b = 8.320 Å, c = 8.320 Å
α = 90.00°, β = 90.00°, γ = 90.00°
Space group Pm-3m (No. 221)
Asymmetric unit:
Cs 0.000 0.000 0.500 x3
Ca 0.000 0.000 0.000 x1
Mn 0.500 0.500 0.500 x1

Summary:
Its formation energy from the elements is 0.9814 eV/atom. For the density, the calculation gives 1.42 g cm⁻³.

Number 1: M_tot 0.00 μB/f.u.. Number 2: M_tot 0.00 μB/f.u.. Number 3: M_tot 0.00 μB/f.u.. Number 4: M_tot 0.00 μB/f.u.. Number 5: M_tot 0.00 μB/f.u.. Number 6: M_tot 4.84 μB/f.u..